No. 1
Entry from the Alexandria database: Na2Co3O6 after structural relaxation (PBE+U).

Properties
Excess energy over the best structure of this formula in the dataset, eV/atom: 0.019
Total moment, μB per formula unit: 2.0

a = 9.9224 Å, b = 9.9224 Å, c = 33.1621 Å
α = 90.00°, β = 90.00°, γ = 120.00°
Space group R-3c (No. 167, hexagonal axes)
Unique sites:
Na  0.0000  0.0000  0.0849 (multiplicity 12)
Na  0.0000  0.1904  0.2500 (multiplicity 18)
Na  0.0000  0.3639  0.7500 (multiplicity 18)
Co  0.0000  0.0000  0.0000 (multiplicity 6)
Co  0.0000  0.0000  0.1696 (multiplicity 12)
Co  0.9998  0.4992  0.1660 (multiplicity 36)
Co  0.0000  0.5000  0.0000 (multiplicity 18)
O  0.0007  0.3328  0.6377 (multiplicity 36)
O  0.0028  0.1654  0.1384 (multiplicity 36)
O  0.0028  0.1659  0.4696 (multiplicity 36)
O  0.0036  0.1705  0.8006 (multiplicity 36)

=====

No. 2
Entry from the Alexandria database: NaCoO2 after structural relaxation (PBE+U).

Properties
Total moment, μB per formula unit: 4.0

a = 3.0087 Å, b = 3.0087 Å, c = 5.5250 Å
α = 90.00°, β = 90.00°, γ = 120.00°
Space group P-3m1 (No. 164)
Unique sites:
Na  0.0000  0.0000  0.0000 (multiplicity 1)
Co  0.0000  0.0000  0.5000 (multiplicity 1)
O  0.3333  0.6667  0.6969 (multiplicity 2)

=====

No. 3
Entry from the Alexandria database: NaCoO3 after structural relaxation (PBE+U).

Properties
Total moment, μB per formula unit: 4.2

a = 3.759 Å, b = 3.759 Å, c = 3.759 Å
α = 90.00°, β = 90.00°, γ = 90.00°
Space group Pm-3m (No. 221)
Unique sites:
Na  0.000  0.000  0.000 (multiplicity 1)
Co  0.500  0.500  0.500 (multiplicity 1)
O  0.000  0.500  0.500 (multiplicity 3)

=====

no.,final energy (eV per atom)
1,-5.5003
2,-5.2258
3,-4.9793